(1)
The following is a DFT calculation (PBE) of crystalline Pd2NCl at its relaxed geometry. Values from VASP.

Quantum ESPRESSO input file:
```
&SYSTEM
  ibrav = 0, nat = 4, ntyp = 3
/
ATOMIC_SPECIES
N 14.01 N.upf
Pd 106.42 Pd.upf
Cl 35.45 Cl.upf
CELL_PARAMETERS angstrom
0.000 3.004 3.004
3.004 0.000 3.004
3.004 3.004 0.000
ATOMIC_POSITIONS crystal
N 0.000 0.000 0.000
Pd 0.250 0.250 0.250
Pd 0.750 0.750 0.750
Cl 0.500 0.500 0.500
```

## Properties
- Polymorph energy (0 for the lowest one): 2.94 eV/f.u.
- Formation energy (no corrections): 1077 meV/atom

(2)
The following is a DFT calculation (PBE) of crystalline PdN2Cl4 at its relaxed geometry. Values from VASP.

Quantum ESPRESSO input file:
```
&SYSTEM
  ibrav = 0, nat = 7, ntyp = 3
/
ATOMIC_SPECIES
Pd 106.42 Pd.upf
N 14.01 N.upf
Cl 35.45 Cl.upf
CELL_PARAMETERS angstrom
6.846 0.000 0.000
0.000 6.846 0.000
0.000 0.000 3.506
ATOMIC_POSITIONS crystal
Pd 0.000 0.000 0.000
N 0.500 0.000 0.500
N 0.000 0.500 0.500
Cl 0.235 0.235 0.000
Cl 0.765 0.765 0.000
Cl 0.765 0.235 0.000
Cl 0.235 0.765 0.000
```

## Properties
- Formation energy (no corrections): 1397 meV/atom